Entry 1:
An optimized crystal structure of Th3Zn3Ni8, computed with GGA-PBE.

The structure in CIF format:
```
data_Th3Zn3Ni8
_chemical_formula_sum 'Th6 Zn6 Ni16'
_cell_length_a 4.147
_cell_length_b 8.712
_cell_length_c 12.484
_cell_angle_alpha 90.00
_cell_angle_beta 90.00
_cell_angle_gamma 90.00
_space_group_name_H-M_alt 'I m m m'
_space_group_IT_number 71
_space_group_name_Hall '-I 2 2'
loop_
_atom_site_label
_atom_site_type_symbol
_atom_site_fract_x
_atom_site_fract_y
_atom_site_fract_z
Th1 Th 0.000 0.000 0.000
Th2 Th 0.000 0.000 0.295
Zn1 Zn 0.000 0.221 0.500
Zn2 Zn 0.000 0.500 0.000
Ni1 Ni 0.000 0.274 0.113
Ni2 Ni 0.000 0.338 0.312
```

## Properties
**Formation enthalpy at 0 K**: -0.365 eV per atom



Entry 2:
An optimized crystal structure of LaPm2Ho5, computed with GGA-PBE.

The structure in CIF format:
```
data_LaPm2Ho5
_chemical_formula_sum 'La2 Pm4 Ho10'
_cell_length_a 3.568
_cell_length_b 11.196
_cell_length_c 13.159
_cell_angle_alpha 90.00
_cell_angle_beta 90.00
_cell_angle_gamma 90.00
_space_group_name_H-M_alt 'I m m m'
_space_group_IT_number 71
_space_group_name_Hall '-I 2 2'
loop_
_atom_site_label
_atom_site_type_symbol
_atom_site_fract_x
_atom_site_fract_y
_atom_site_fract_z
La1 La 0.000 0.000 0.000
Pm1 Pm 0.000 0.500 0.257
Ho1 Ho 0.000 0.229 0.367
Ho2 Ho 0.000 0.500 0.000
```

## Properties
**Relative energy among the computed polymorphs**: 8 meV per atom
**Formation enthalpy at 0 K**: 0.031 eV per atom



Entry 3:
An optimized crystal structure of HoGa3Co, computed with GGA-PBE.

The structure in CIF format:
```
data_HoGa3Co
_chemical_formula_sum 'Ho1 Ga3 Co1'
_cell_length_a 4.526
_cell_length_b 4.526
_cell_length_c 4.526
_cell_angle_alpha 90.00
_cell_angle_beta 90.00
_cell_angle_gamma 90.00
_space_group_name_H-M_alt 'P m -3 m'
_space_group_IT_number 221
_space_group_name_Hall '-P 4 2 3'
loop_
_atom_site_label
_atom_site_type_symbol
_atom_site_fract_x
_atom_site_fract_y
_atom_site_fract_z
Ho1 Ho 0.000 0.000 0.000
Ga1 Ga 0.000 0.500 0.500
Co1 Co 0.500 0.500 0.500
```

## Properties
**Relative energy among the computed polymorphs**: 196 meV per atom
**Formation enthalpy at 0 K**: -0.321 eV per atom



Entry 4:
An optimized crystal structure of Li3Ca2Pd4, computed with GGA-PBE.

The structure in CIF format:
```
data_Li3Ca2Pd4
_chemical_formula_sum 'Li12 Ca8 Pd16'
_cell_length_a 5.656
_cell_length_b 15.294
_cell_length_c 7.491
_cell_angle_alpha 90.00
_cell_angle_beta 90.00
_cell_angle_gamma 90.00
_space_group_name_H-M_alt 'C m c e'
_space_group_IT_number 64
_space_group_name_Hall '-C 2ac 2'
loop_
_atom_site_label
_atom_site_type_symbol
_atom_site_fract_x
_atom_site_fract_y
_atom_site_fract_z
Li1 Li 0.000 0.000 0.000
Li2 Li 0.250 0.226 0.250
Ca1 Ca 0.000 0.108 0.590
Pd1 Pd 0.000 0.171 0.985
Pd2 Pd 0.250 0.062 0.250
```

## Properties
**Formation enthalpy at 0 K**: -0.508 eV per atom



Total energy for the records above, in order: -5.532, -4.633, -4.474, -3.898 eV/atom
DOS(E_F) for the records above, in order: 19.9, 21.4, 3.4, 8.3 states/eV/cell